Entry i
Material: AlBi2Br
Method: DFT, GGA-PBE
State: optimized geometry

Calculated values
The value obtained for the total magnetic moment is 0.000 μB per atom. The symmetry is No. 122. The calculated volume comes out at 31.29 Å³ per atom.

abc: 12.2442 12.2442 12.2442
angles: 158.32 158.32 30.85
With the nearest neighbours (Å) after each atom.
Fractional positions:
Al: 0.0000 0.0000 0.0000  4 Br 3.26, 4 Bi 3.32
Al: 0.7500 0.2500 0.5000  4 Br 3.26, 4 Bi 3.32
Bi: 0.0909 0.6250 0.9659  2 Bi 3.04, 2 Al 3.32
Bi: 0.3750 0.3409 0.4659  2 Bi 3.04, 2 Al 3.32
Bi: 0.6591 0.1250 0.0341  2 Bi 3.04, 2 Al 3.32
Bi: 0.8750 0.9091 0.5341  2 Bi 3.04, 2 Al 3.32
Br: 0.2500 0.7500 0.5000  4 Al 3.26, 4 Bi 3.43
Br: 0.5000 0.5000 0.0000  4 Al 3.26, 4 Bi 3.43


Entry ii
Material: AlBi2Br
Method: DFT, GGA-PBE
State: optimized geometry

Calculated values
The value obtained for the total magnetic moment is 0.000 μB per atom. The symmetry is No. 225. The calculated volume comes out at 26.77 Å³ per atom.

abc: 5.3301 5.3301 5.3301
angles: 60.00 60.00 60.00
With the nearest neighbours (Å) after each atom.
Fractional positions:
Al: 0.0000 0.0000 0.0000  8 Bi 3.26
Bi: 0.2500 0.2500 0.2500  4 Br 3.26, 4 Al 3.26
Bi: 0.7500 0.7500 0.7500  4 Br 3.26, 4 Al 3.26
Br: 0.5000 0.5000 0.5000  8 Bi 3.26


The least stable of the structures above is entry ii, whereas entry i is the most stable.